(1)
The following is a DFT calculation (GGA-PBE) of crystalline K2UInCl6 at its relaxed geometry.

The space group is C2/m (No. 12) and the conventional cell measures 13.550, 8.032 and 7.854 Å, with angles of 90.00, 124.02 and 90.00 degrees. The distinct sites, in fractional coordinates, are K at (0.249, 0.000, 0.211), U at (0.000, 0.500, 0.000), In at (0.000, 0.000, 0.500), Cl at (0.079, 0.261, 0.851) and Cl at (0.223, 0.500, 0.364).

Its crystal system is monoclinic. The value obtained for the total DFT energy (no corrections) is -4.35 eV per atom.

---

(2)
The following is a DFT calculation (GGA-PBE) of crystalline KUIn2Cl6 at its relaxed geometry.

The space group is R-3 (No. 148, hexagonal axes) and the conventional cell measures 8.1014, 8.1014 and 19.1854 Å, with angles of 90.00, 90.00 and 120.00 degrees. The distinct sites, in fractional coordinates, are K at (0.0000, 0.0000, 0.0000), U at (0.0000, 0.0000, 0.5000), In at (0.0000, 0.0000, 0.2873) and Cl at (0.0392, 0.2847, 0.5892).

Its crystal system is trigonal. The value obtained for the total DFT energy (no corrections) is -4.29 eV per atom.

---

(3)
The following is a DFT calculation (GGA-PBE) of crystalline KVIn2Cl6 at its relaxed geometry.

The space group is P2_1/c (No. 14) and the conventional cell measures 6.957, 8.093 and 12.358 Å, with angles of 90.00, 122.03 and 90.00 degrees. The distinct sites, in fractional coordinates, are K at (0.000, 0.000, 0.000), V at (0.500, 0.000, 0.500), In at (0.205, 0.065, 0.726), Cl at (0.186, 0.158, 0.477), Cl at (0.264, 0.742, 0.926) and Cl at (0.386, 0.066, 0.284).

Its crystal system is monoclinic. The value obtained for the total DFT energy (no corrections) is -3.90 eV per atom.

---

(4)
The following is a DFT calculation (GGA-PBE) of crystalline KVInCl4 at its relaxed geometry.

The space group is P2_1/m (No. 11) and the conventional cell measures 6.222, 7.267 and 9.275 Å, with angles of 90.00, 105.41 and 90.00 degrees. The distinct sites, in fractional coordinates, are K at (0.199, 0.250, 0.446), V at (0.005, 0.250, 0.820), In at (0.357, 0.750, 0.007), Cl at (0.211, 0.004, 0.756), Cl at (0.233, 0.250, 0.080) and Cl at (0.279, 0.750, 0.407).

Its crystal system is monoclinic. The value obtained for the total DFT energy (no corrections) is -4.08 eV per atom.